Er2TmIn3AgPd2 | PBE | optimized geometry

```
data_Er2TmIn3AgPd2
_chemical_formula_sum 'Er4 Tm2 In6 Ag2 Pd4'
_cell_length_a 3.749
_cell_length_b 13.519
_cell_length_c 7.807
_cell_angle_alpha 90.00
_cell_angle_beta 90.00
_cell_angle_gamma 90.00
_space_group_name_H-M_alt 'A m m 2'
_space_group_IT_number 38
loop_
_space_group_symop_operation_xyz
'x,y,z'
'-x,-y,z'
'-x,y,z'
'x,-y,z'
'x,y+1/2,z+1/2'
'-x,-y+1/2,z+1/2'
'-x,y+1/2,z+1/2'
'x,-y+1/2,z+1/2'
loop_
_atom_site_label
_atom_site_fract_x
_atom_site_fract_y
_atom_site_fract_z
_atom_site_occupancy
Er1 0.000 0.204 0.000 1
Tm1 0.000 0.000 0.612 1
In1 0.500 0.000 0.934 1
In2 0.500 0.135 0.339 1
Ag1 0.000 0.000 0.204 1
Pd1 0.500 0.166 0.704 1
```

The uncorrected energy is -4.574 eV/atom. The magnetic moment is 0.002 μB/atom.

ErTm2In3AgPd2 | PBE | optimized geometry

```
data_ErTm2In3AgPd2
_chemical_formula_sum 'Er2 Tm4 In6 Ag2 Pd4'
_cell_length_a 3.728
_cell_length_b 13.543
_cell_length_c 7.815
_cell_angle_alpha 90.00
_cell_angle_beta 90.00
_cell_angle_gamma 90.00
_space_group_name_H-M_alt 'A m m 2'
_space_group_IT_number 38
loop_
_space_group_symop_operation_xyz
'x,y,z'
'-x,-y,z'
'-x,y,z'
'x,-y,z'
'x,y+1/2,z+1/2'
'-x,-y+1/2,z+1/2'
'-x,y+1/2,z+1/2'
'x,-y+1/2,z+1/2'
loop_
_atom_site_label
_atom_site_fract_x
_atom_site_fract_y
_atom_site_fract_z
_atom_site_occupancy
Er1 0.000 0.000 0.000 1
Tm1 0.000 0.203 0.610 1
In1 0.500 0.000 0.678 1
In2 0.500 0.136 0.271 1
Ag1 0.000 0.000 0.407 1
Pd1 0.500 0.167 0.906 1
```

The uncorrected energy is -4.563 eV/atom. The magnetic moment is 0.002 μB/atom.

Er3In3Ag2Pt | PBE | optimized geometry

```
data_Er3In3Ag2Pt
_chemical_formula_sum 'Er3 In3 Ag2 Pt1'
_cell_length_a 7.7153
_cell_length_b 7.7153
_cell_length_c 3.9048
_cell_angle_alpha 90.00
_cell_angle_beta 90.00
_cell_angle_gamma 120.00
_space_group_name_H-M_alt 'P -6 2 m'
_space_group_IT_number 189
_space_group_name_Hall 'P -6 -2'
loop_
_atom_site_label
_atom_site_fract_x
_atom_site_fract_y
_atom_site_fract_z
_atom_site_occupancy
Er1 0.0000 0.6044 0.0000 1
In1 0.0000 0.2603 0.5000 1
Ag1 0.3333 0.6667 0.5000 1
Pt1 0.0000 0.0000 0.0000 1
```

The uncorrected energy is -4.324 eV/atom. The magnetic moment is 0.001 μB/atom.

Er3In3AgPt2 | PBE | optimized geometry

```
data_Er3In3AgPt2
_chemical_formula_sum 'Er6 In6 Ag2 Pt4'
_cell_length_a 3.748
_cell_length_b 13.494
_cell_length_c 7.800
_cell_angle_alpha 90.00
_cell_angle_beta 90.00
_cell_angle_gamma 90.00
_space_group_name_H-M_alt 'A m m 2'
_space_group_IT_number 38
loop_
_space_group_symop_operation_xyz
'x,y,z'
'-x,-y,z'
'-x,y,z'
'x,-y,z'
'x,y+1/2,z+1/2'
'-x,-y+1/2,z+1/2'
'-x,y+1/2,z+1/2'
'x,-y+1/2,z+1/2'
loop_
_atom_site_label
_atom_site_fract_x
_atom_site_fract_y
_atom_site_fract_z
_atom_site_occupancy
Er1 0.000 0.000 0.000 1
Er2 0.000 0.205 0.614 1
In1 0.500 0.000 0.679 1
In2 0.500 0.134 0.275 1
Ag1 0.000 0.000 0.409 1
Pt1 0.500 0.166 0.910 1
```

The uncorrected energy is -4.917 eV/atom. The magnetic moment is 0.000 μB/atom.

Er3In3AgPt2 | PBE | optimized geometry

```
data_Er3In3AgPt2
_chemical_formula_sum 'Er3 In3 Ag1 Pt2'
_cell_length_a 7.7816
_cell_length_b 7.7816
_cell_length_c 3.7547
_cell_angle_alpha 90.00
_cell_angle_beta 90.00
_cell_angle_gamma 120.00
_space_group_name_H-M_alt 'P -6 2 m'
_space_group_IT_number 189
_space_group_name_Hall 'P -6 -2'
loop_
_atom_site_label
_atom_site_fract_x
_atom_site_fract_y
_atom_site_fract_z
_atom_site_occupancy
Er1 0.0000 0.5900 0.0000 1
In1 0.0000 0.2688 0.5000 1
Ag1 0.0000 0.0000 0.0000 1
Pt1 0.3333 0.6667 0.5000 1
```

The uncorrected energy is -4.917 eV/atom. The magnetic moment is 0.001 μB/atom.

TbEr2In3AgPt2 | PBE | optimized geometry

```
data_TbEr2In3AgPt2
_chemical_formula_sum 'Tb2 Er4 In6 Ag2 Pt4'
_cell_length_a 3.756
_cell_length_b 13.553
_cell_length_c 7.801
_cell_angle_alpha 90.00
_cell_angle_beta 90.00
_cell_angle_gamma 90.00
_space_group_name_H-M_alt 'A m m 2'
_space_group_IT_number 38
loop_
_space_group_symop_operation_xyz
'x,y,z'
'-x,-y,z'
'-x,y,z'
'x,-y,z'
'x,y+1/2,z+1/2'
'-x,-y+1/2,z+1/2'
'-x,y+1/2,z+1/2'
'x,-y+1/2,z+1/2'
loop_
_atom_site_label
_atom_site_fract_x
_atom_site_fract_y
_atom_site_fract_z
_atom_site_occupancy
Tb1 0.000 0.000 0.000 1
Er1 0.000 0.205 0.386 1
In1 0.500 0.000 0.323 1
In2 0.500 0.135 0.725 1
Ag1 0.000 0.000 0.590 1
Pt1 0.500 0.168 0.092 1
```

The uncorrected energy is -4.925 eV/atom. The magnetic moment is 0.001 μB/atom.

Tb2ErIn3AgPt2 | PBE | optimized geometry

```
data_Tb2ErIn3AgPt2
_chemical_formula_sum 'Tb4 Er2 In6 Ag2 Pt4'
_cell_length_a 3.773
_cell_length_b 13.528
_cell_length_c 7.834
_cell_angle_alpha 90.00
_cell_angle_beta 90.00
_cell_angle_gamma 90.00
_space_group_name_H-M_alt 'A m m 2'
_space_group_IT_number 38
loop_
_space_group_symop_operation_xyz
'x,y,z'
'-x,-y,z'
'-x,y,z'
'x,-y,z'
'x,y+1/2,z+1/2'
'-x,-y+1/2,z+1/2'
'-x,y+1/2,z+1/2'
'x,-y+1/2,z+1/2'
loop_
_atom_site_label
_atom_site_fract_x
_atom_site_fract_y
_atom_site_fract_z
_atom_site_occupancy
Tb1 0.000 0.205 0.000 1
Er1 0.000 0.000 0.386 1
In1 0.500 0.000 0.065 1
In2 0.500 0.134 0.661 1
Ag1 0.000 0.000 0.795 1
Pt1 0.500 0.166 0.296 1
```

The uncorrected energy is -4.933 eV/atom. The magnetic moment is 0.000 μB/atom.

Er2TmIn3AgPt2 | PBE | optimized geometry

```
data_Er2TmIn3AgPt2
_chemical_formula_sum 'Er4 Tm2 In6 Ag2 Pt4'
_cell_length_a 3.725
_cell_length_b 13.511
_cell_length_c 7.803
_cell_angle_alpha 90.00
_cell_angle_beta 90.00
_cell_angle_gamma 90.00
_space_group_name_H-M_alt 'A m m 2'
_space_group_IT_number 38
loop_
_space_group_symop_operation_xyz
'x,y,z'
'-x,-y,z'
'-x,y,z'
'x,-y,z'
'x,y+1/2,z+1/2'
'-x,-y+1/2,z+1/2'
'-x,y+1/2,z+1/2'
'x,-y+1/2,z+1/2'
loop_
_atom_site_label
_atom_site_fract_x
_atom_site_fract_y
_atom_site_fract_z
_atom_site_occupancy
Er1 0.000 0.205 0.000 1
Tm1 0.000 0.000 0.614 1
In1 0.500 0.000 0.935 1
In2 0.500 0.135 0.339 1
Ag1 0.000 0.000 0.205 1
Pt1 0.500 0.167 0.705 1
```

The uncorrected energy is -4.906 eV/atom. The magnetic moment is 0.001 μB/atom.

YEr2In3AgPt2 | PBE | optimized geometry

```
data_YEr2In3AgPt2
_chemical_formula_sum 'Y2 Er4 In6 Ag2 Pt4'
_cell_length_a 3.751
_cell_length_b 13.554
_cell_length_c 7.800
_cell_angle_alpha 90.00
_cell_angle_beta 90.00
_cell_angle_gamma 90.00
_space_group_name_H-M_alt 'A m m 2'
_space_group_IT_number 38
loop_
_space_group_symop_operation_xyz
'x,y,z'
'-x,-y,z'
'-x,y,z'
'x,-y,z'
'x,y+1/2,z+1/2'
'-x,-y+1/2,z+1/2'
'-x,y+1/2,z+1/2'
'x,-y+1/2,z+1/2'
loop_
_atom_site_label
_atom_site_fract_x
_atom_site_fract_y
_atom_site_fract_z
_atom_site_occupancy
Y1 0.000 0.000 0.000 1
Er1 0.000 0.205 0.387 1
In1 0.500 0.000 0.323 1
In2 0.500 0.135 0.726 1
Ag1 0.000 0.000 0.591 1
Pt1 0.500 0.168 0.093 1
```

The uncorrected energy is -5.131 eV/atom. The magnetic moment is 0.001 μB/atom.

Y2ErIn3AgPt2 | PBE | optimized geometry

```
data_Y2ErIn3AgPt2
_chemical_formula_sum 'Y4 Er2 In6 Ag2 Pt4'
_cell_length_a 3.763
_cell_length_b 13.535
_cell_length_c 7.834
_cell_angle_alpha 90.00
_cell_angle_beta 90.00
_cell_angle_gamma 90.00
_space_group_name_H-M_alt 'A m m 2'
_space_group_IT_number 38
loop_
_space_group_symop_operation_xyz
'x,y,z'
'-x,-y,z'
'-x,y,z'
'x,-y,z'
'x,y+1/2,z+1/2'
'-x,-y+1/2,z+1/2'
'-x,y+1/2,z+1/2'
'x,-y+1/2,z+1/2'
loop_
_atom_site_label
_atom_site_fract_x
_atom_site_fract_y
_atom_site_fract_z
_atom_site_occupancy
Y1 0.000 0.204 0.000 1
Er1 0.000 0.000 0.386 1
In1 0.500 0.000 0.065 1
In2 0.500 0.134 0.661 1
Ag1 0.000 0.000 0.795 1
Pt1 0.500 0.165 0.297 1
```

The uncorrected energy is -5.344 eV/atom. The magnetic moment is 0.002 μB/atom.

TbEr2In3Ag3 | PBE | optimized geometry

```
data_TbEr2In3Ag3
_chemical_formula_sum 'Tb2 Er4 In6 Ag6'
_cell_length_a 3.932
_cell_length_b 13.605
_cell_length_c 7.830
_cell_angle_alpha 90.00
_cell_angle_beta 90.00
_cell_angle_gamma 90.00
_space_group_name_H-M_alt 'A m m 2'
_space_group_IT_number 38
loop_
_space_group_symop_operation_xyz
'x,y,z'
'-x,-y,z'
'-x,y,z'
'x,-y,z'
'x,y+1/2,z+1/2'
'-x,-y+1/2,z+1/2'
'-x,y+1/2,z+1/2'
'x,-y+1/2,z+1/2'
loop_
_atom_site_label
_atom_site_fract_x
_atom_site_fract_y
_atom_site_fract_z
_atom_site_occupancy
Tb1 0.000 0.000 0.000 1
Er1 0.000 0.203 0.391 1
In1 0.500 0.000 0.331 1
In2 0.500 0.132 0.725 1
Ag1 0.000 0.000 0.593 1
Ag2 0.500 0.168 0.094 1
```

The uncorrected energy is -3.807 eV/atom. The magnetic moment is 0.000 μB/atom.

ErAgIr | PBE | optimized geometry

```
data_ErAgIr
_chemical_formula_sum 'Er4 Ag4 Ir4'
_cell_length_a 6.489
_cell_length_b 6.489
_cell_length_c 6.489
_cell_angle_alpha 90.00
_cell_angle_beta 90.00
_cell_angle_gamma 90.00
_space_group_name_H-M_alt 'F -4 3 m'
_space_group_IT_number 216
_space_group_name_Hall 'F -4 2 3'
loop_
_atom_site_label
_atom_site_fract_x
_atom_site_fract_y
_atom_site_fract_z
_atom_site_occupancy
Er1 0.000 0.000 0.000 1
Ag1 0.250 0.250 0.750 1
Ir1 0.250 0.250 0.250 1
```

The uncorrected energy is -5.260 eV/atom. The magnetic moment is 0.000 μB/atom. The energy above the most stable polymorph in this dataset is 0.331 eV/atom. For the energy of formation, the calculation gives 0.154 eV per atom.